No. 1
## FeSi2Ni9 (PBE-GGA)

Data for FeSi2Ni9 after structural relaxation.

a b c (Å): 3.5229 3.5229 10.5328
angles (deg): 90.00 90.00 90.00
Fractional coordinates of all 12 atoms:
Ni 0.5000 0.5000 0.3352
Ni 0.0000 0.5000 0.5000
Fe 0.0000 0.0000 0.0000
Ni 0.5000 0.0000 0.5000
Ni 0.5000 0.5000 0.0000
Ni 0.0000 0.5000 0.8311
Si 0.0000 0.0000 0.6666
Si 0.0000 0.0000 0.3334
Ni 0.0000 0.5000 0.1689
Ni 0.5000 0.5000 0.6648
Ni 0.5000 0.0000 0.1689
Ni 0.5000 0.0000 0.8311

Summary:
Its spin magnetization is 5.50 μB per cell. As for the space-group type: P4/mmm (123). The calculation puts the energy at -6.261 eV/atom.

No. 2
## RbCu2I2Cl (PBE-GGA)

Data for RbCu2I2Cl after structural relaxation.

a b c (Å): 5.2347 8.9623 8.9500
angles (deg): 105.52 90.00 90.00
Fractional coordinates of all 12 atoms:
I 0.2500 0.5924 0.8416
Cl 0.2500 0.0869 0.9152
Cl 0.7500 0.9131 0.0848
Rb 0.2500 0.7257 0.2704
Cu 0.4998 0.8405 0.8357
Cu 0.5002 0.1595 0.1643
I 0.2500 0.1537 0.4113
Cu 0.0002 0.8405 0.8357
I 0.7500 0.4076 0.1584
Cu 0.9998 0.1595 0.1643
I 0.7500 0.8463 0.5887
Rb 0.7500 0.2743 0.7296

Summary:
Its spin magnetization is 0.00 μB per cell. As for the space-group type: P2_1/m (11). The calculation puts the energy at -3.040 eV/atom.

No. 3
## NdGa2Si (PBE-GGA)

Data for NdGa2Si after structural relaxation.

a b c (Å): 4.4339 4.2924 4.2924
angles (deg): 90.00 90.00 90.00
Fractional coordinates of all 4 atoms:
Nd 0.5000 0.0000 0.0000
Ga 0.0000 0.0000 0.5000
Si 0.5000 0.5000 0.5000
Ga 0.0000 0.5000 0.0000

Summary:
The energy relative to the lowest polymorph listed for this composition comes out at 0.00 kcal/mol of atoms. Its spin magnetization is 0.00 μB per cell. As for the space-group type: P4/mmm (123).